Material: Ce3Cu3Pb4
Method: DFT, PBE-GGA
State: relaxed

Cell lengths 8.5556, 8.5556, 8.5556 Å; angles 109.47, 109.47, 109.47 degrees
Positions (direct):
Ce (0.1250, 0.7500, 0.8750)
Ce (0.2500, 0.6250, 0.3750)
Ce (0.3750, 0.2500, 0.6250)
Ce (0.6250, 0.3750, 0.2500)
Ce (0.7500, 0.8750, 0.1250)
Ce (0.8750, 0.1250, 0.7500)
Cu (0.1250, 0.8750, 0.2500)
Cu (0.2500, 0.1250, 0.8750)
Cu (0.3750, 0.6250, 0.7500)
Cu (0.6250, 0.7500, 0.3750)
Cu (0.7500, 0.3750, 0.6250)
Cu (0.8750, 0.2500, 0.1250)
Pb (0.0000, 0.3346, 0.5000)
Pb (0.0000, 0.8346, 0.5000)
Pb (0.1654, 0.1654, 0.1654)
Pb (0.3346, 0.5000, 0.0000)
Pb (0.5000, 0.0000, 0.3346)
Pb (0.5000, 0.0000, 0.8346)
Pb (0.6654, 0.6654, 0.6654)
Pb (0.8346, 0.5000, 0.0000)

Output
* symmetry: I-43d, No. 220
* calculated total energy: -96.1 eV/cell
* formation enthalpy at 0 K: -0.3136 eV/atom



Material: TaNb2Ru4
Method: DFT, PBE-GGA
State: relaxed

Cell lengths 5.3757, 5.3757, 5.3757 Å; angles 109.50, 109.50, 109.42 degrees
Positions (direct):
Ta (0.0000, 0.0000, 0.0000)
Nb (0.0000, 0.5000, 0.5000)
Nb (0.5000, 0.0000, 0.5000)
Ru (0.0000, 0.0000, 0.5000)
Ru (0.0000, 0.5000, 0.0000)
Ru (0.5000, 0.0000, 0.0000)
Ru (0.5000, 0.5000, 0.5000)

Output
* symmetry: I4/mmm, No. 139
* calculated total energy: -69.1 eV/cell
* formation enthalpy at 0 K: 0.0027 eV/atom
* polymorph energy (0 for the lowest one): 0.000 eV per atom



Material: LiGaAsRh
Method: DFT, PBE-GGA
State: relaxed

Cell lengths 4.3546, 4.3546, 4.3546 Å; angles 60.00, 60.00, 60.00 degrees
Positions (direct):
Li (0.0000, 0.0000, 0.0000)
Ga (0.2500, 0.2500, 0.2500)
As (0.7500, 0.7500, 0.7500)
Rh (0.5000, 0.5000, 0.5000)

Output
* symmetry: F-43m, No. 216
* calculated total energy: -18.7 eV/cell
* formation enthalpy at 0 K: -0.4388 eV/atom



Material: PrNb6Se8
Method: DFT, PBE-GGA
State: relaxed

Cell lengths 6.9165, 6.9165, 6.9165 Å; angles 86.88, 86.88, 86.88 degrees
Positions (direct):
Pr (0.0000, 0.0000, 0.0000)
Nb (0.2102, 0.4138, 0.5532)
Nb (0.4138, 0.5532, 0.2102)
Nb (0.4468, 0.7898, 0.5862)
Nb (0.5532, 0.2102, 0.4138)
Nb (0.5862, 0.4468, 0.7898)
Nb (0.7898, 0.5862, 0.4468)
Se (0.1257, 0.7662, 0.3902)
Se (0.2338, 0.2338, 0.2338)
Se (0.2338, 0.6098, 0.8743)
Se (0.3902, 0.1257, 0.7662)
Se (0.6098, 0.8743, 0.2338)
Se (0.7662, 0.3902, 0.1257)
Se (0.7662, 0.7662, 0.7662)
Se (0.8743, 0.2338, 0.6098)

Output
* symmetry: R-3, No. 148
* calculated total energy: -106.2 eV/cell
* uncorrected formation energy: -0.874 eV per atom